(1)
The following is a DFT calculation (PBE) of a relaxed Pr5Sc crystal.

The space group is P-62m (No. 189) and the conventional cell measures 6.3440, 6.3440 and 5.8642 Å, with angles of 90.00, 90.00 and 120.00 degrees. The inequivalent atoms are Pr at (0.0000, 0.6799, 0.0000), Pr at (0.3333, 0.6667, 0.5000) and Sc at (0.0000, 0.0000, 0.5000).

The formation energy is 0.050 eV/atom.



(2)
The following is a DFT calculation (PBE) of a relaxed GdHoFe2Ge2 crystal.

The space group is P4mm (No. 99) and the conventional cell measures 4.1163, 4.1163 and 6.5332 Å, with angles of 90.00, 90.00 and 90.00 degrees. The inequivalent atoms are Gd at (0.0000, 0.0000, 0.0000), Ho at (0.5000, 0.5000, 0.3806), Fe at (0.0000, 0.5000, 0.6855), Ge at (0.0000, 0.0000, 0.4908) and Ge at (0.5000, 0.5000, 0.8810).



(3)
The following is a DFT calculation (PBE) of a relaxed Sr6CuC2N7 crystal.

The space group is P2_1/c (No. 14) and the conventional cell measures 3.8305, 9.8983 and 14.6179 Å, with angles of 90.00, 92.21 and 90.00 degrees. The inequivalent atoms are Sr at (0.0113, 0.0712, 0.1098), Sr at (0.4666, 0.2455, 0.9451), Sr at (0.4717, 0.1035, 0.6671), Cu at (0.0000, 0.0000, 0.5000), C at (0.1695, 0.7256, 0.2158), N at (0.0144, 0.6694, 0.6916), N at (0.0210, 0.6719, 0.9436), N at (0.3544, 0.6288, 0.2412) and N at (0.5000, 0.0000, 0.0000).



(4)
The following is a DFT calculation (PBE) of a relaxed ThScCu crystal.

The space group is F-43m (No. 216) and the conventional cell measures 6.7058, 6.7058 and 6.7058 Å, with angles of 90.00, 90.00 and 90.00 degrees. The inequivalent atoms are Th at (0.0000, 0.0000, 0.0000), Sc at (0.0000, 0.0000, 0.5000) and Cu at (0.2500, 0.2500, 0.7500).

The energy above the most stable polymorph in this dataset comes out at 0.0 meV/atom. The formation energy is 0.163 eV/atom.



(5)
The following is a DFT calculation (PBE) of a relaxed Fe2SbPb crystal.

The space group is Pm-3m (No. 221) and the conventional cell measures 6.4290, 6.4290 and 6.4290 Å, with angles of 90.00, 90.00 and 90.00 degrees. The inequivalent atoms are Fe at (0.2312, 0.2312, 0.2312), Sb at (0.0000, 0.0000, 0.0000), Sb at (0.0000, 0.0000, 0.5000), Pb at (0.0000, 0.5000, 0.5000) and Pb at (0.5000, 0.5000, 0.5000).



(6)
The following is a DFT calculation (PBE) of a relaxed FeS crystal.

The space group is Pmmn (No. 59, origin choice 2) and the conventional cell measures 3.5651, 3.6015 and 5.3239 Å, with angles of 90.00, 90.00 and 90.00 degrees. The inequivalent atoms are Fe at (0.2500, 0.2500, 0.0010) and S at (0.2500, 0.7500, 0.2285).



| no. | total energy (eV/atom) |
| --- | --- |
| 1 | -4.984 |
| 2 | -6.377 |
| 3 | -6.360 |
| 4 | -5.656 |
| 5 | -5.566 |
| 6 | -6.733 |